# 1
# TlFeCuTc

A geometry-optimized TlFeCuTc structure (PBE, OQMD via LeMat-Bulk).

Results
As for the magnetization: 12.04 μB per cell. As for the total energy: -5.617 eV per atom.

Cell: 6.223 6.223 6.223 Å, 90.00 90.00 90.00°
Space group F-43m (No. 216)
Inequivalent atoms, fractional coordinates:
Tl  0.000  0.000  0.000 (multiplicity 4)
Fe  0.250  0.250  0.750 (multiplicity 4)
Cu  0.250  0.250  0.250 (multiplicity 4)
Tc  0.000  0.000  0.500 (multiplicity 4)

# 2
# TlFeCuTe3

A geometry-optimized TlFeCuTe3 structure (PBE, OQMD via LeMat-Bulk).

Results
As for the magnetization: 8.67 μB per cell. As for the total energy: -4.004 eV per atom.

Cell: 3.900 15.120 10.510 Å, 90.00 90.00 90.00°
Space group Cmcm (No. 63)
Inequivalent atoms, fractional coordinates:
Tl  0.000  0.233  0.250 (multiplicity 4)
Fe  0.000  0.000  0.000 (multiplicity 4)
Cu  0.000  0.458  0.750 (multiplicity 4)
Te  0.000  0.070  0.750 (multiplicity 4)
Te  0.000  0.382  0.531 (multiplicity 8)

# 3
# TlFeCuTe3

A geometry-optimized TlFeCuTe3 structure (PBE, OQMD via LeMat-Bulk).

Results
As for the magnetization: 5.09 μB per cell. As for the total energy: -4.063 eV per atom.

Cell: 15.195 3.889 10.267 Å, 90.00 90.00 90.00°
Space group Pnma (No. 62)
Inequivalent atoms, fractional coordinates:
Tl  0.233  0.250  0.057 (multiplicity 4)
Fe  0.014  0.250  0.327 (multiplicity 4)
Cu  0.012  0.750  0.087 (multiplicity 4)
Te  0.074  0.250  0.566 (multiplicity 4)
Te  0.100  0.750  0.864 (multiplicity 4)
Te  0.126  0.750  0.275 (multiplicity 4)

# 4
# TlFeCuTe

A geometry-optimized TlFeCuTe structure (PBE, OQMD via LeMat-Bulk).

Results
As for the magnetization: 10.78 μB per cell. As for the total energy: -3.884 eV per atom.

Cell: 6.812 6.812 6.812 Å, 90.00 90.00 90.00°
Space group F-43m (No. 216)
Inequivalent atoms, fractional coordinates:
Tl  0.000  0.000  0.000 (multiplicity 4)
Fe  0.250  0.250  0.250 (multiplicity 4)
Cu  0.250  0.250  0.750 (multiplicity 4)
Te  0.000  0.000  0.500 (multiplicity 4)

# 5
# TlFe2Cu

A geometry-optimized TlFe2Cu structure (PBE, OQMD via LeMat-Bulk).

Results
As for the magnetization: 20.33 μB per cell. As for the total energy: -5.249 eV per atom.

Cell: 6.169 6.169 6.169 Å, 90.00 90.00 90.00°
Space group F-43m (No. 216)
Inequivalent atoms, fractional coordinates:
Tl  0.000  0.000  0.000 (multiplicity 4)
Fe  0.000  0.000  0.500 (multiplicity 4)
Fe  0.250  0.250  0.750 (multiplicity 4)
Cu  0.250  0.250  0.250 (multiplicity 4)

# 6
# TlFeCuW

A geometry-optimized TlFeCuW structure (PBE, OQMD via LeMat-Bulk).

Results
As for the magnetization: 5.77 μB per cell. As for the total energy: -6.017 eV per atom.

Cell: 6.316 6.316 6.316 Å, 90.00 90.00 90.00°
Space group F-43m (No. 216)
Inequivalent atoms, fractional coordinates:
Tl  0.000  0.000  0.000 (multiplicity 4)
Fe  0.000  0.000  0.500 (multiplicity 4)
Cu  0.250  0.250  0.750 (multiplicity 4)
W  0.250  0.250  0.250 (multiplicity 4)

# 7
# TlFeCuW

A geometry-optimized TlFeCuW structure (PBE, OQMD via LeMat-Bulk).

Results
As for the magnetization: 0.02 μB per cell. As for the total energy: -6.175 eV per atom.

Cell: 6.190 6.190 6.190 Å, 90.00 90.00 90.00°
Space group F-43m (No. 216)
Inequivalent atoms, fractional coordinates:
Tl  0.000  0.000  0.000 (multiplicity 4)
Fe  0.250  0.250  0.750 (multiplicity 4)
Cu  0.250  0.250  0.250 (multiplicity 4)
W  0.000  0.000  0.500 (multiplicity 4)

# 8
# YTlFeCu

A geometry-optimized YTlFeCu structure (PBE, OQMD via LeMat-Bulk).

Results
As for the magnetization: 10.82 μB per cell. As for the total energy: -5.039 eV per atom.

Cell: 6.781 6.781 6.781 Å, 90.00 90.00 90.00°
Space group F-43m (No. 216)
Inequivalent atoms, fractional coordinates:
Y  0.000  0.000  0.000 (multiplicity 4)
Tl  0.250  0.250  0.250 (multiplicity 4)
Fe  0.000  0.000  0.500 (multiplicity 4)
Cu  0.250  0.250  0.750 (multiplicity 4)